A relaxed structure of Nd4Er3Cd. Source: the Alexandria database, functional GGA-PBE.

As for the total energy: -4.2660 eV/atom. The density of states at the Fermi level comes out at 11.1 states/eV per cell. The calculated formation energy is -0.057 eV/atom. The calculation puts the magnetic moment at 0.00 μB/f.u.

a = 3.6392 Å, b = 3.6392 Å, c = 19.2709 Å
α = 90.00°, β = 90.00°, γ = 90.00°
Closest atoms and distances in Å follow each position.
Atoms (fractional coordinates):
Nd1 0.0000 0.0000 0.1112  4 Cd 3.35, 4 Er 3.60, 4 Nd 3.64
Nd2 0.0000 0.0000 0.3712  8 Er 3.58-3.59, 4 Nd 3.64
Nd3 0.0000 0.0000 0.6288  8 Er 3.58-3.59, 4 Nd 3.64
Nd4 0.0000 0.0000 0.8888  4 Cd 3.35, 4 Er 3.60, 4 Nd 3.64
Er1 0.5000 0.5000 0.2417  8 Nd 3.59-3.60, 4 Er 3.64
Er2 0.5000 0.5000 0.5000  8 Nd 3.58, 4 Er 3.64
Er3 0.5000 0.5000 0.7583  8 Nd 3.59-3.60, 4 Er 3.64
Cd1 0.5000 0.5000 0.0000  8 Nd 3.35, 4 Cd 3.64

***

A relaxed structure of Ba2Ca2Sn2H. Source: the Alexandria database, functional GGA-PBE.

As for the total energy: -3.3685 eV/atom. The density of states at the Fermi level comes out at 7.1 states/eV per cell. The calculation puts the magnetic moment at 0.00 μB/f.u.

a = 9.7005 Å, b = 9.7005 Å, c = 9.7005 Å
α = 149.95°, β = 149.95°, γ = 43.01°
Closest atoms and distances in Å follow each position.
Atoms (fractional coordinates):
Ba1 0.1749 0.1749 0.0000  1 H 3.16
Ba2 0.8251 0.8251 0.0000  1 H 3.16
Ca1 0.0000 0.5000 0.5000  2 H 2.51
Ca2 0.5000 0.0000 0.5000  2 H 2.51
Sn1 0.3789 0.3789 0.0000  4 Ca 3.33, 5 Ba 3.68-3.69
Sn2 0.6211 0.6211 0.0000  4 Ca 3.33, 5 Ba 3.68-3.69
H1 0.0000 0.0000 0.0000  4 Ca 2.51

***

A relaxed structure of CaCr2Ir2. Source: the Alexandria database, functional GGA-PBE.

As for the excess energy over the best structure of this formula in the dataset: 13 meV/atom. As for the total energy: -7.8451 eV/atom. The density of states at the Fermi level comes out at 11.9 states/eV per cell. The calculated formation energy is -0.051 eV/atom. The calculation puts the magnetic moment at 0.00 μB/f.u.

a = 7.5651 Å, b = 7.5651 Å, c = 2.7239 Å
α = 90.00°, β = 90.00°, γ = 90.00°
Closest atoms and distances in Å follow each position.
Atoms (fractional coordinates):
Ca1 0.0000 0.0000 0.0000  2 Ca 2.72
Ca2 0.5000 0.5000 0.0000  2 Ca 2.72
Cr1 0.1088 0.3912 0.0000  1 Cr 2.33, 4 Ir 2.58
Cr2 0.3912 0.8912 0.0000  1 Cr 2.33, 4 Ir 2.58
Cr3 0.6088 0.1088 0.0000  1 Cr 2.33, 4 Ir 2.58
Cr4 0.8912 0.6088 0.0000  1 Cr 2.33, 4 Ir 2.58
Ir1 0.1732 0.6732 0.5000  6 Cr 2.58-2.70, 2 Ir 2.72
Ir2 0.3268 0.1732 0.5000  6 Cr 2.58-2.70, 2 Ir 2.72
Ir3 0.6732 0.8268 0.5000  6 Cr 2.58-2.70, 2 Ir 2.72
Ir4 0.8268 0.3268 0.5000  6 Cr 2.58-2.70, 2 Ir 2.72

***

A relaxed structure of YFeBr2. Source: the Alexandria database, functional GGA-PBE.

As for the excess energy over the best structure of this formula in the dataset: 368 meV/atom. As for the total energy: -4.7853 eV/atom. The calculation puts the formation energy from raw total energies at -217 meV/atom. The density of states at the Fermi level comes out at 4.4 states/eV per cell. The calculation puts the magnetic moment at 2.61 μB/f.u.

a = 4.6628 Å, b = 4.6628 Å, c = 3.8843 Å
α = 90.00°, β = 90.00°, γ = 90.00°
Closest atoms and distances in Å follow each position.
Atoms (fractional coordinates):
Y1 0.0000 0.0000 0.0000  8 Br 3.03, 4 Fe 3.30
Fe1 0.5000 0.5000 0.0000  8 Br 3.03, 4 Y 3.30
Br1 0.0000 0.5000 0.5000  4 Fe 3.03, 4 Y 3.03, 4 Br 3.30
Br2 0.5000 0.0000 0.5000  4 Fe 3.03, 4 Y 3.03, 4 Br 3.30